# K2ReTc (GGA-PBE, relaxed)
data_K2ReTc
_cell_length_a 3.1279
_cell_length_b 4.4000
_cell_length_c 5.9588
_cell_angle_alpha 90.00
_cell_angle_beta 90.00
_cell_angle_gamma 90.00
_symmetry_space_group_name_H-M 'P m m m'
_symmetry_Int_Tables_number 47
loop_
_symmetry_equiv_pos_as_xyz
'x,y,z'
'-x,-y,-z'
'-x,-y,z'
'x,y,-z'
'x,-y,-z'
'-x,y,z'
'-x,y,-z'
'x,-y,z'
loop_
_atom_site_label
_atom_site_fract_x
_atom_site_fract_y
_atom_site_fract_z
K1 0.0000 0.0000 0.0000
K2 0.5000 0.5000 0.0000
Re1 0.0000 0.5000 0.5000
Tc1 0.5000 0.0000 0.5000
# size of the total moment	0.00	Bohr magnetons per cell
# total energy	-19.4	eV per formula unit
# calculated formation energy	1.401	eV per atom

---

# K2ReTc (GGA-PBE, relaxed)
data_K2ReTc
_cell_length_a 7.7404
_cell_length_b 7.7404
_cell_length_c 7.7404
_cell_angle_alpha 90.00
_cell_angle_beta 90.00
_cell_angle_gamma 90.00
_symmetry_space_group_name_H-M 'F m -3 m'
_symmetry_Int_Tables_number 225
_symmetry_space_group_name_Hall '-F 4 2 3'
loop_
_atom_site_label
_atom_site_fract_x
_atom_site_fract_y
_atom_site_fract_z
K1 0.2500 0.2500 0.2500
Re1 0.0000 0.0000 0.0000
Tc1 0.0000 0.0000 0.5000
# size of the total moment	27.93	Bohr magnetons per cell
# total energy	-14.9	eV per formula unit
# calculated formation energy	2.535	eV per atom

---

# K2ReTc (GGA-PBE, relaxed)
data_K2ReTc
_cell_length_a 2.8217
_cell_length_b 2.8217
_cell_length_c 35.9569
_cell_angle_alpha 90.00
_cell_angle_beta 90.00
_cell_angle_gamma 120.00
_symmetry_space_group_name_H-M 'R -3 m'
_symmetry_Int_Tables_number 166
_symmetry_space_group_name_Hall '-R 3 2"'
loop_
_atom_site_label
_atom_site_fract_x
_atom_site_fract_y
_atom_site_fract_z
K1 0.0000 0.0000 0.2504
Re1 0.0000 0.0000 0.0000
Tc1 0.0000 0.0000 0.5000
# size of the total moment	3.16	Bohr magnetons per cell
# total energy	-19.1	eV per formula unit
# calculated formation energy	1.468	eV per atom